[1]
# PBE-GGA LiCaPmTm, relaxed
data_LiCaPmTm
_chemical_formula_sum 'Li4 Ca4 Pm4 Tm4'
_symmetry_space_group_name_H-M 'F -4 3 m'
_symmetry_Int_Tables_number 216
_symmetry_space_group_name_Hall 'F -4 2 3'
_cell_length_a 7.9647
_cell_length_b 7.9647
_cell_length_c 7.9647
_cell_angle_alpha 90.00
_cell_angle_beta 90.00
_cell_angle_gamma 90.00
loop_
_atom_site_label
_atom_site_type_symbol
_atom_site_fract_x
_atom_site_fract_y
_atom_site_fract_z
Li1 Li 0.0000 0.0000 0.0000
Ca1 Ca 0.2500 0.2500 0.2500
Pm1 Pm 0.2500 0.2500 0.7500
Tm1 Tm 0.0000 0.0000 0.5000
# - Total magnetization: 0.0 Bohr magnetons per cell
# - E_form: 0.210 eV per atom
# - Volume: 505 Å³ per cell


[2]
# PBE-GGA LiCa2Pr, relaxed
data_LiCa2Pr
_chemical_formula_sum 'Li3 Ca6 Pr3'
_symmetry_space_group_name_H-M 'R -3 m'
_symmetry_Int_Tables_number 166
_symmetry_space_group_name_Hall '-R 3 2"'
_cell_length_a 3.6148
_cell_length_b 3.6148
_cell_length_c 38.2415
_cell_angle_alpha 90.00
_cell_angle_beta 90.00
_cell_angle_gamma 120.00
loop_
_atom_site_label
_atom_site_type_symbol
_atom_site_fract_x
_atom_site_fract_y
_atom_site_fract_z
Li1 Li 0.0000 0.0000 0.0000
Ca1 Ca 0.0000 0.0000 0.4071
Pr1 Pr 0.0000 0.0000 0.5000
# - Total magnetization: 0.0 Bohr magnetons per cell
# - E_form: 0.214 eV per atom
# - Volume: 433 Å³ per cell
# - Energy relative to the lowest polymorph listed for this composition: 142 meV per atom


[3]
# PBE-GGA LiCa2Pr, relaxed
data_LiCa2Pr
_chemical_formula_sum 'Li4 Ca8 Pr4'
_symmetry_space_group_name_H-M 'F m -3 m'
_symmetry_Int_Tables_number 225
_symmetry_space_group_name_Hall '-F 4 2 3'
_cell_length_a 8.2488
_cell_length_b 8.2488
_cell_length_c 8.2488
_cell_angle_alpha 90.00
_cell_angle_beta 90.00
_cell_angle_gamma 90.00
loop_
_atom_site_label
_atom_site_type_symbol
_atom_site_fract_x
_atom_site_fract_y
_atom_site_fract_z
Li1 Li 0.0000 0.0000 0.0000
Ca1 Ca 0.2500 0.2500 0.2500
Pr1 Pr 0.0000 0.0000 0.5000
# - Total magnetization: 0.0 Bohr magnetons per cell
# - E_form: 0.186 eV per atom
# - Volume: 561 Å³ per cell
# - Energy relative to the lowest polymorph listed for this composition: 114 meV per atom


[4]
# PBE-GGA LiCa2Pr, relaxed
data_LiCa2Pr
_chemical_formula_sum 'Li1 Ca2 Pr1'
_symmetry_space_group_name_H-M 'P 4/m m m'
_symmetry_Int_Tables_number 123
_symmetry_space_group_name_Hall '-P 4 2'
_cell_length_a 4.0060
_cell_length_b 4.0060
_cell_length_c 8.6871
_cell_angle_alpha 90.00
_cell_angle_beta 90.00
_cell_angle_gamma 90.00
loop_
_atom_site_label
_atom_site_type_symbol
_atom_site_fract_x
_atom_site_fract_y
_atom_site_fract_z
Li1 Li 0.0000 0.0000 0.0000
Ca1 Ca 0.5000 0.5000 0.2217
Pr1 Pr 0.0000 0.0000 0.5000
# - Total magnetization: 0.0 Bohr magnetons per cell
# - E_form: 0.072 eV per atom
# - Volume: 139 Å³ per cell
# - Energy relative to the lowest polymorph listed for this composition: 0 meV per atom